[1]
# LaFeC (PBE, optimized geometry)
# DFT formation energy, meV per atom: -174
# Excess energy over the best structure of this formula in the dataset, meV/atom: 0
# Magnetic moment, μB/f.u.: 0.0
# DOS at the Fermi energy, states/eV per cell: 8.5
# Energy, eV per atom: -7.71
data_LaFeC
_symmetry_space_group_name_H-M 'C 1 2/m 1'
_symmetry_Int_Tables_number 12
_symmetry_space_group_name_Hall '-C 2y'
_cell_length_a 11.143
_cell_length_b 5.210
_cell_length_c 3.672
_cell_angle_alpha 90.00
_cell_angle_beta 105.54
_cell_angle_gamma 90.00
loop_
_atom_site_label
_atom_site_type_symbol
_atom_site_fract_x
_atom_site_fract_y
_atom_site_fract_z
La1 La 0.153 0.000 0.322
Fe1 Fe 0.075 0.500 0.811
C1 C 0.102 0.500 0.335

[2]
# Sc2FeMo (PBE, optimized geometry)
# DFT formation energy, meV per atom: 254
# Excess energy over the best structure of this formula in the dataset, meV/atom: 228
# Magnetic moment, μB/f.u.: 1.1
# DOS at the Fermi energy, states/eV per cell: 5.3
# Energy, eV per atom: -7.74
data_Sc2FeMo
_symmetry_space_group_name_H-M 'P m m m'
_symmetry_Int_Tables_number 47
_symmetry_space_group_name_Hall '-P 2 2'
_cell_length_a 3.378
_cell_length_b 4.261
_cell_length_c 4.756
_cell_angle_alpha 90.00
_cell_angle_beta 90.00
_cell_angle_gamma 90.00
loop_
_atom_site_label
_atom_site_type_symbol
_atom_site_fract_x
_atom_site_fract_y
_atom_site_fract_z
Sc1 Sc 0.000 0.000 0.000
Sc2 Sc 0.500 0.000 0.500
Fe1 Fe 0.000 0.500 0.500
Mo1 Mo 0.500 0.500 0.000

[3]
# Cs4La3PmSe8 (PBE, optimized geometry)
# Magnetic moment, μB/f.u.: 0.0
# DOS at the Fermi energy, states/eV per cell: 0.0
# Energy, eV per atom: -4.97
# Raw formation energy, eV/atom: -1.792
data_Cs4La3PmSe8
_symmetry_space_group_name_H-M 'R -3 m'
_symmetry_Int_Tables_number 166
_symmetry_space_group_name_Hall '-R 3 2"'
_cell_length_a 8.9374
_cell_length_b 8.9374
_cell_length_c 25.1481
_cell_angle_alpha 90.00
_cell_angle_beta 90.00
_cell_angle_gamma 120.00
loop_
_atom_site_label
_atom_site_type_symbol
_atom_site_fract_x
_atom_site_fract_y
_atom_site_fract_z
Cs1 Cs 0.0000 0.0000 0.0000
Cs2 Cs 0.0000 0.5000 0.0000
La1 La 0.0000 0.5000 0.5000
Pm1 Pm 0.0000 0.0000 0.5000
Se1 Se 0.0000 0.0000 0.2304
Se2 Se 0.0048 0.5024 0.2300

[4]
# Cs2PrTe2Br2 (PBE, optimized geometry)
# Magnetic moment, μB/f.u.: 0.0
# DOS at the Fermi energy, states/eV per cell: 17.5
# Energy, eV per atom: -3.69
# Raw formation energy, eV/atom: -1.385
data_Cs2PrTe2Br2
_symmetry_space_group_name_H-M 'I 4/m m m'
_symmetry_Int_Tables_number 139
_symmetry_space_group_name_Hall '-I 4 2'
_cell_length_a 6.141
_cell_length_b 6.141
_cell_length_c 18.653
_cell_angle_alpha 90.00
_cell_angle_beta 90.00
_cell_angle_gamma 90.00
loop_
_atom_site_label
_atom_site_type_symbol
_atom_site_fract_x
_atom_site_fract_y
_atom_site_fract_z
Cs1 Cs 0.000 0.000 0.147
Pr1 Pr 0.000 0.000 0.500
Te1 Te 0.000 0.500 0.000
Br1 Br 0.000 0.000 0.339

[5]
# LiInHg2 (PBE, optimized geometry)
# DFT formation energy, meV per atom: -169
# Magnetic moment, μB/f.u.: 0.0
# DOS at the Fermi energy, states/eV per cell: 3.0
# Energy, eV per atom: -1.48
data_LiInHg2
_symmetry_space_group_name_H-M 'R 3 m'
_symmetry_Int_Tables_number 160
_symmetry_space_group_name_Hall 'R 3 -2"'
_cell_length_a 3.3517
_cell_length_b 3.3517
_cell_length_c 28.6010
_cell_angle_alpha 90.00
_cell_angle_beta 90.00
_cell_angle_gamma 120.00
loop_
_atom_site_label
_atom_site_type_symbol
_atom_site_fract_x
_atom_site_fract_y
_atom_site_fract_z
Li1 Li 0.0000 0.0000 0.0000
In1 In 0.0000 0.0000 0.8335
Hg1 Hg 0.0000 0.0000 0.4067
Hg2 Hg 0.0000 0.0000 0.5934

[6]
# Cs3CrBr6 (PBE, optimized geometry)
# Excess energy over the best structure of this formula in the dataset, meV/atom: 15
# Magnetic moment, μB/f.u.: 3.0
# DOS at the Fermi energy, states/eV per cell: 0.0
# Energy, eV per atom: -3.60
# Raw formation energy, eV/atom: -1.373
data_Cs3CrBr6
_symmetry_space_group_name_H-M 'F m -3 m'
_symmetry_Int_Tables_number 225
_symmetry_space_group_name_Hall '-F 4 2 3'
_cell_length_a 11.850
_cell_length_b 11.850
_cell_length_c 11.850
_cell_angle_alpha 90.00
_cell_angle_beta 90.00
_cell_angle_gamma 90.00
loop_
_atom_site_label
_atom_site_type_symbol
_atom_site_fract_x
_atom_site_fract_y
_atom_site_fract_z
Cs1 Cs 0.000 0.000 0.000
Cs2 Cs 0.250 0.250 0.250
Cr1 Cr 0.000 0.000 0.500
Br1 Br 0.000 0.000 0.287